(1)
CrSiNi2Pb: relaxed, PBE.

Structure (POSCAR):
```
CrSiNi2Pb
1.0
4.418 0.000 0.000
0.000 4.418 0.000
0.000 0.000 4.465
Cr Si Ni Pb
1 1 2 1
Direct
0.000 0.000 0.000
0.000 0.000 0.500
0.000 0.500 0.000
0.500 0.000 0.000
0.500 0.500 0.500
```

* energy: -26.39 eV for the cell shown
* crystal system: tetragonal

(2)
CeNd2In: relaxed, PBE.

Structure (POSCAR):
```
CeNd2In
1.0
3.659 0.000 0.000
0.000 3.659 0.000
0.000 0.000 9.127
Ce Nd In
1 2 1
Direct
0.000 0.000 0.000
0.500 0.500 0.265
0.500 0.500 0.735
0.000 0.000 0.500
```

* distance to the lowest polymorph of the same formula: 0.045 eV/atom
* energy of formation: -0.1804 eV/atom
* crystal system: tetragonal

(3)
LiYCr3: relaxed, PBE.

Structure (POSCAR):
```
LiYCr3
1.0
4.552 0.000 0.000
0.000 4.552 0.000
0.000 0.000 4.552
Li Y Cr
1 1 3
Direct
0.000 0.000 0.000
0.500 0.500 0.500
0.000 0.000 0.500
0.000 0.500 0.000
0.500 0.000 0.000
```

* distance to the lowest polymorph of the same formula: 0.000 eV/atom
* energy of formation: 1.0371 eV/atom
* crystal system: cubic

(4)
Nb6VFe: relaxed, PBE.

Structure (POSCAR):
```
Nb6VFe
1.0
-2.272 2.272 6.470
2.272 -2.272 6.470
2.272 2.272 -6.470
Nb V Fe
6 1 1
Direct
0.119 0.619 0.500
0.247 0.247 0.000
0.381 0.881 0.500
0.619 0.119 0.500
0.753 0.753 0.000
0.881 0.381 0.500
0.000 0.000 0.000
0.500 0.500 0.000
```

* energy of formation: -0.0071 eV/atom
* crystal system: tetragonal

(5)
CsLi2TlF6: relaxed, PBE.

Structure (POSCAR):
```
CsLi2TlF6
1.0
4.569 -5.395 0.000
4.569 5.395 0.000
-2.108 0.000 6.422
Cs Li Tl F
2 4 2 12
Direct
0.160 0.840 0.750
0.840 0.160 0.250
0.137 0.327 0.817
0.327 0.137 0.317
0.673 0.863 0.683
0.863 0.673 0.183
0.411 0.589 0.250
0.589 0.411 0.750
0.102 0.607 0.275
0.219 0.257 0.090
0.257 0.219 0.590
0.344 0.550 0.908
0.393 0.898 0.225
0.450 0.656 0.592
0.550 0.344 0.408
0.607 0.102 0.775
0.656 0.450 0.092
0.743 0.781 0.410
0.781 0.743 0.910
0.898 0.393 0.725
```

* energy: -85.34 eV for the cell shown
* crystal system: monoclinic

(6)
FeW: relaxed, PBE.

Structure (POSCAR):
```
FeW
1.0
1.381 0.797 8.640
-1.381 0.797 8.640
0.000 -1.594 8.640
Fe W
2 2
Direct
0.131 0.131 0.131
0.869 0.869 0.869
0.381 0.381 0.381
0.619 0.619 0.619
```

* energy of formation: 0.3424 eV/atom
* crystal system: trigonal

(7)
NdEr2Se: relaxed, PBE.

Structure (POSCAR):
```
NdEr2Se
1.0
1.843 1.064 10.447
-1.843 1.064 10.447
0.000 -2.128 10.447
Nd Er Se
1 2 1
Direct
0.000 0.000 0.000
0.109 0.109 0.109
0.891 0.891 0.891
0.500 0.500 0.500
```

* distance to the lowest polymorph of the same formula: 0.232 eV/atom
* crystal system: trigonal

(8)
OsRh2: relaxed, PBE.

Structure (POSCAR):
```
OsRh2
1.0
5.035 0.000 0.000
-2.517 4.360 0.000
0.000 0.000 8.088
Os Rh
4 8
Direct
0.333 0.667 0.079
0.333 0.667 0.421
0.667 0.333 0.579
0.667 0.333 0.921
0.000 0.000 0.000
0.000 0.000 0.500
0.170 0.341 0.750
0.170 0.830 0.750
0.341 0.170 0.250
0.659 0.830 0.750
0.830 0.170 0.250
0.830 0.659 0.250
```

* distance to the lowest polymorph of the same formula: 0.599 eV/atom
* energy of formation: 0.6149 eV/atom
* crystal system: hexagonal

(9)
HfAgIr: relaxed, PBE.

Structure (POSCAR):
```
HfAgIr
1.0
0.000 2.706 7.507
2.705 0.000 7.507
2.705 2.706 0.000
Hf Ag Ir
2 2 2
Direct
0.181 0.181 0.819
0.819 0.819 0.181
0.000 0.000 0.500
0.500 0.500 0.000
0.357 0.357 0.643
0.643 0.643 0.357
```

* energy of formation: -0.5054 eV/atom
* crystal system: orthorhombic

(10)
Sm2ScSe3: relaxed, PBE.

Structure (POSCAR):
```
Sm2ScSe3
1.0
-2.031 2.896 6.133
2.031 -2.896 6.133
2.031 2.896 -6.133
Sm Sc Se
2 1 3
Direct
0.173 0.173 0.000
0.827 0.827 0.000
0.500 0.500 0.000
0.000 0.500 0.500
0.347 0.847 0.500
0.653 0.153 0.500
```

* distance to the lowest polymorph of the same formula: 0.014 eV/atom
* crystal system: orthorhombic

(11)
LiSn2Hg2: relaxed, PBE.

Structure (POSCAR):
```
LiSn2Hg2
1.0
2.332 -8.204 0.000
2.332 8.204 0.000
0.000 0.000 6.340
Li Sn Hg
2 4 4
Direct
0.106 0.894 0.500
0.894 0.106 0.000
0.305 0.695 0.705
0.497 0.503 0.262
0.503 0.497 0.762
0.695 0.305 0.205
0.089 0.911 0.012
0.312 0.688 0.198
0.688 0.312 0.698
0.911 0.089 0.512
```

* distance to the lowest polymorph of the same formula: 0.043 eV/atom
* energy of formation: -0.0904 eV/atom
* crystal system: orthorhombic

(12)
Tb3NdEr7: relaxed, PBE.

Structure (POSCAR):
```
Tb3NdEr7
1.0
-2.882 5.549 5.573
2.882 -5.549 5.573
2.882 5.549 -5.573
Tb Nd Er
3 1 7
Direct
0.000 0.000 0.000
0.208 0.708 0.500
0.792 0.292 0.500
0.500 0.500 0.000
0.016 0.807 0.210
0.205 0.500 0.705
0.403 0.193 0.210
0.500 0.000 0.500
0.597 0.807 0.790
0.795 0.500 0.295
0.984 0.193 0.790
```

* distance to the lowest polymorph of the same formula: 0.070 eV/atom
* energy of formation: 0.2636 eV/atom
* crystal system: orthorhombic

(13)
TeSeBr2: relaxed, PBE.

Structure (POSCAR):
```
TeSeBr2
1.0
3.344 0.000 0.000
0.000 4.513 0.000
0.000 0.000 6.597
Te Se Br
1 1 2
Direct
0.000 0.000 0.000
0.000 0.000 0.500
0.500 0.500 0.248
0.500 0.500 0.752
```

* distance to the lowest polymorph of the same formula: 0.698 eV/atom
* crystal system: orthorhombic

(14)
SmHoS2: relaxed, PBE.

Structure (POSCAR):
```
SmHoS2
1.0
3.405 -1.973 0.000
3.405 1.973 0.000
-2.286 0.000 6.475
Sm Ho S
1 1 2
Direct
0.000 0.000 0.000
0.500 0.500 0.500
0.246 0.246 0.738
0.754 0.754 0.262
```

* distance to the lowest polymorph of the same formula: 0.000 eV/atom
* crystal system: monoclinic

(15)
Hf2Cr2Mo: relaxed, PBE.

Structure (POSCAR):
```
Hf2Cr2Mo
1.0
6.165 0.000 0.000
0.000 6.165 0.000
0.000 0.000 4.491
Hf Cr Mo
4 4 2
Direct
0.178 0.322 0.000
0.322 0.822 0.000
0.678 0.178 0.000
0.822 0.678 0.000
0.124 0.624 0.500
0.376 0.124 0.500
0.624 0.876 0.500
0.876 0.376 0.500
0.000 0.000 0.500
0.500 0.500 0.500
```

* energy of formation: 0.1290 eV/atom
* crystal system: tetragonal

(16)
SbMo2IrBr: relaxed, PBE.

Structure (POSCAR):
```
SbMo2IrBr
1.0
4.977 0.000 0.000
0.000 4.977 0.000
0.000 0.000 5.167
Sb Mo Ir Br
1 2 1 1
Direct
0.000 0.000 0.000
0.000 0.500 0.000
0.500 0.000 0.000
0.500 0.500 0.500
0.000 0.000 0.500
```

* energy: -23.59 eV for the cell shown
* crystal system: tetragonal

(17)
Pm7Y6Er16: relaxed, PBE.

Structure (POSCAR):
```
Pm7Y6Er16
1.0
0.000 7.879 7.879
7.879 0.000 7.879
7.879 7.879 0.000
Pm Y Er
7 6 16
Direct
0.000 0.000 0.000
0.000 0.000 0.500
0.000 0.500 0.000
0.000 0.500 0.500
0.500 0.000 0.000
0.500 0.000 0.500
0.500 0.500 0.000
0.270 0.270 0.730
0.270 0.730 0.270
0.270 0.730 0.730
0.730 0.270 0.270
0.730 0.270 0.730
0.730 0.730 0.270
0.042 0.653 0.653
0.126 0.126 0.126
0.126 0.126 0.622
0.126 0.622 0.126
0.347 0.347 0.347
0.347 0.347 0.958
0.347 0.958 0.347
0.378 0.874 0.874
0.622 0.126 0.126
0.653 0.042 0.653
0.653 0.653 0.042
0.653 0.653 0.653
0.874 0.378 0.874
0.874 0.874 0.378
0.874 0.874 0.874
0.958 0.347 0.347
```

* energy of formation: 0.2493 eV/atom
* crystal system: cubic

(18)
Cu2SbPt: relaxed, PBE.

Structure (POSCAR):
```
Cu2SbPt
1.0
3.459 0.000 0.000
0.000 3.459 0.000
0.000 0.000 5.325
Cu Sb Pt
2 1 1
Direct
0.000 0.000 0.237
0.000 0.000 0.763
0.500 0.500 0.500
0.500 0.500 0.000
```

* energy: -18.44 eV for the cell shown
* crystal system: tetragonal

(19)
Dy6Si2GeTe3: relaxed, PBE.

Structure (POSCAR):
```
Dy6Si2GeTe3
1.0
9.350 -2.115 0.000
9.350 2.115 0.000
-2.203 0.000 8.314
Dy Si Ge Te
6 2 1 3
Direct
0.007 0.007 0.234
0.326 0.326 0.434
0.339 0.339 0.899
0.661 0.661 0.101
0.674 0.674 0.566
0.993 0.993 0.766
0.167 0.167 0.333
0.833 0.833 0.667
0.500 0.500 0.000
0.166 0.166 0.833
0.500 0.500 0.500
0.834 0.834 0.167
```

* energy: -66.01 eV for the cell shown
* crystal system: monoclinic

(20)
LiAcCd11: relaxed, PBE.

Structure (POSCAR):
```
LiAcCd11
1.0
2.955 -7.112 0.000
2.955 7.112 0.000
-2.859 0.000 7.154
Li Ac Cd
1 1 11
Direct
0.000 0.000 0.000
0.500 0.500 0.500
0.000 0.500 0.500
0.006 0.792 0.277
0.136 0.484 0.142
0.208 0.994 0.723
0.484 0.136 0.142
0.500 0.000 0.500
0.500 0.500 0.000
0.516 0.864 0.858
0.792 0.006 0.277
0.864 0.516 0.858
0.994 0.208 0.723
```

* energy of formation: -0.1809 eV/atom
* crystal system: monoclinic

no.,N(E_F) (states/eV/cell)
1,5.95
2,4.94
3,7.36
4,7.61
5,0.00
6,4.30
7,5.55
8,15.71
9,2.93
10,3.24
11,3.18
12,16.33
13,3.29
14,1.49
15,7.28
16,19.63
17,63.16
18,1.88
19,2.17
20,5.11